1.
Computed, not measured: a geometry-optimized ZrMnCo2 structure at the PBE-GGA level of DFT.

Cell lengths 4.3047, 4.3047, 4.3047 Å; angles 60.00, 60.00, 60.00 degrees
Positions (direct):
Zr  0.0000  0.0000  0.0000
Mn  0.5000  0.5000  0.5000
Co  0.2500  0.2500  0.2500
Co  0.7500  0.7500  0.7500

Computed properties:
Mass density, g/cm³: 7.77
Energy of formation, eV/atom: -0.18
Total energy, eV per atom: -8.16
Space group: Fm-3m

---

2.
Computed, not measured: a geometry-optimized ZrMn6Co6 structure at the PBE-GGA level of DFT.

Cell lengths 6.2169, 6.2169, 6.2169 Å; angles 136.19, 98.46, 97.54 degrees
Positions (direct):
Zr  0.0000  0.0000  0.0000
Mn  0.2195  0.7195  0.5000
Mn  0.3494  0.0000  0.3494
Mn  0.3675  0.3675  0.0000
Mn  0.6325  0.6325  0.0000
Mn  0.6506  0.0000  0.6506
Mn  0.7805  0.2805  0.5000
Co  0.0000  0.0000  0.5000
Co  0.0000  0.5000  0.0000
Co  0.2073  0.5000  0.7073
Co  0.5000  0.0000  0.0000
Co  0.5000  0.5000  0.5000
Co  0.7927  0.5000  0.2927

Computed properties:
Mass density, g/cm³: 8.33
Energy of formation, eV/atom: -0.02
Total energy, eV per atom: -8.19
Space group: Immm

---

3.
Computed, not measured: a geometry-optimized ZrMnCo structure at the PBE-GGA level of DFT.

Cell lengths 5.1985, 5.1985, 5.1985 Å; angles 145.04, 145.04, 50.28 degrees
Positions (direct):
Zr  0.0000  0.0000  0.0000
Mn  0.3121  0.3121  0.0000
Co  0.6737  0.6737  0.0000

Computed properties:
Mass density, g/cm³: 7.42
Energy of formation, eV/atom: -0.04
E above lowest polymorph, kJ per mole of atoms: 21.1
Total energy, eV per atom: -8.31
Space group: I4mm

---

Which of these has the highest mass density? ZrMn6Co6